# 1
# BaYCr, optimized geometry, DFT PBE
# - offset from the most stable computed form (meV/atom) = 201
# - V (A^3/atom) = 34.09
# - DFT formation energy (eV/f.u.) = 2.11
# - size of the total moment (μB per formula unit) = 3.6
data_BaYCr
_chemical_formula_sum 'Ba1 Y1 Cr1'
_symmetry_space_group_name_H-M 'P 3 m 1'
_symmetry_Int_Tables_number 156
_symmetry_space_group_name_Hall 'P 3 -2"'
_cell_length_a 3.8521
_cell_length_b 3.8521
_cell_length_c 7.9580
_cell_angle_alpha 90.00
_cell_angle_beta 90.00
_cell_angle_gamma 120.00
loop_
_atom_site_label
_atom_site_type_symbol
_atom_site_fract_x
_atom_site_fract_y
_atom_site_fract_z
_atom_site_occupancy
Ba1 Ba 0.0000 0.0000 0.0000 1
Y1 Y 0.3333 0.6667 0.5679 1
Cr1 Cr 0.6667 0.3333 0.3169 1

# 2
# Sc2SbP, optimized geometry, DFT PBE
# - V (A^3/atom) = 21.17
# - size of the total moment (μB per formula unit) = 0.0
# - E_form (uncorrected) (eV/f.u.) = -3.08
data_Sc2SbP
_chemical_formula_sum 'Sc4 Sb2 P2'
_symmetry_space_group_name_H-M 'C 1 2/m 1'
_symmetry_Int_Tables_number 12
_symmetry_space_group_name_Hall '-C 2y'
_cell_length_a 6.705
_cell_length_b 7.402
_cell_length_c 3.545
_cell_angle_alpha 90.00
_cell_angle_beta 105.68
_cell_angle_gamma 90.00
loop_
_atom_site_label
_atom_site_type_symbol
_atom_site_fract_x
_atom_site_fract_y
_atom_site_fract_z
_atom_site_occupancy
Sc1 Sc 0.250 0.250 0.000 1
Sb1 Sb 0.000 0.000 0.500 1
P1 P 0.000 0.500 0.500 1

# 3
# Nd3Mg2Sc2, optimized geometry, DFT PBE
# - V (A^3/atom) = 29.18
# - DFT formation energy (eV/f.u.) = 0.14
# - size of the total moment (μB per formula unit) = 0.4
data_Nd3Mg2Sc2
_chemical_formula_sum 'Nd6 Mg4 Sc4'
_symmetry_space_group_name_H-M 'C m m m'
_symmetry_Int_Tables_number 65
_symmetry_space_group_name_Hall '-C 2 2'
_cell_length_a 5.158
_cell_length_b 23.002
_cell_length_c 3.443
_cell_angle_alpha 90.00
_cell_angle_beta 90.00
_cell_angle_gamma 90.00
loop_
_atom_site_label
_atom_site_type_symbol
_atom_site_fract_x
_atom_site_fract_y
_atom_site_fract_z
_atom_site_occupancy
Nd1 Nd 0.000 0.000 0.000 1
Nd2 Nd 0.000 0.154 0.000 1
Mg1 Mg 0.000 0.427 0.500 1
Sc1 Sc 0.000 0.285 0.500 1

- What is the V in the first record?
  34.09 A^3/atom

- What is the V in the second record?
  21.17 A^3/atom